Entry from Alexandria via LeMat-Bulk: Th2ZnCdFe after structural relaxation (PBE).

Summary:
- total magnetization (μB per atom) = 0.0000
- VASP energy (eV/atom) = -5.2404
- N(E_F) (states/eV per atom) = 0.87
- energy of formation from the pure elements (meV/atom) = -142

```
data_Th2ZnCdFe
_cell_length_a 3.849
_cell_length_b 8.136
_cell_length_c 8.054
_cell_angle_alpha 111.82
_cell_angle_beta 90.00
_cell_angle_gamma 90.00
_space_group_name_H-M_alt 'P 1'
_space_group_IT_number 1
_space_group_name_Hall 'P 1'
loop_
_atom_site_label
_atom_site_type_symbol
_atom_site_fract_x
_atom_site_fract_y
_atom_site_fract_z
_atom_site_occupancy
Th1 Th 0.750 0.904 0.664 1
Th2 Th 0.750 0.723 0.000 1
Th3 Th 0.250 0.096 0.336 1
Th4 Th 0.250 0.277 0.000 1
Zn1 Zn 0.250 0.569 0.638 1
Zn2 Zn 0.750 0.431 0.362 1
Cd1 Cd 0.250 0.674 0.320 1
Cd2 Cd 0.750 0.326 0.680 1
Fe1 Fe 0.250 0.880 0.886 1
Fe2 Fe 0.750 0.120 0.114 1
```


Entry from Alexandria via LeMat-Bulk: TiCd2Fe after structural relaxation (PBE).

Summary:
- total magnetization (μB per atom) = 0.0020
- VASP energy (eV/atom) = -3.8557
- N(E_F) (states/eV per atom) = 1.67
- energy of formation from the pure elements (meV/atom) = 691

```
data_TiCd2Fe
_cell_length_a 7.813
_cell_length_b 7.813
_cell_length_c 6.060
_cell_angle_alpha 49.86
_cell_angle_beta 49.86
_cell_angle_gamma 90.00
_space_group_name_H-M_alt 'P 1'
_space_group_IT_number 1
_space_group_name_Hall 'P 1'
loop_
_atom_site_label
_atom_site_type_symbol
_atom_site_fract_x
_atom_site_fract_y
_atom_site_fract_z
_atom_site_occupancy
Ti1 Ti 0.500 0.500 0.000 1
Ti2 Ti 0.250 0.750 0.500 1
Fe1 Fe 0.000 0.000 0.000 1
Fe2 Fe 0.750 0.250 0.500 1
Cd1 Cd 0.679 0.125 0.250 1
Cd2 Cd 0.071 0.625 0.250 1
Cd3 Cd 0.375 0.321 0.750 1
Cd4 Cd 0.875 0.929 0.750 1
```


Entry from Alexandria via LeMat-Bulk: TiCd3Fe after structural relaxation (PBE).

Summary:
- total magnetization (μB per atom) = 0.0000
- VASP energy (eV/atom) = -2.8598
- N(E_F) (states/eV per atom) = 3.19
- energy of formation from the pure elements (meV/atom) = 961

```
data_TiCd3Fe
_cell_length_a 4.839
_cell_length_b 4.839
_cell_length_c 4.839
_cell_angle_alpha 90.00
_cell_angle_beta 90.00
_cell_angle_gamma 90.00
_space_group_name_H-M_alt 'P 1'
_space_group_IT_number 1
_space_group_name_Hall 'P 1'
loop_
_atom_site_label
_atom_site_type_symbol
_atom_site_fract_x
_atom_site_fract_y
_atom_site_fract_z
_atom_site_occupancy
Ti1 Ti 0.500 0.500 0.500 1
Fe1 Fe 0.000 0.000 0.000 1
Cd1 Cd 0.000 0.500 0.000 1
Cd2 Cd 0.000 0.000 0.500 1
Cd3 Cd 0.500 0.000 0.000 1
```